Version a
A plane-wave DFT calculation with SCAN was carried out for a PBEsol-optimized structure of CsCaN2.

Volume ... 22.23 Å³/atom

POSCAR file:
```
CsCaN2
1.0
4.797 0.000 0.000
0.000 4.797 0.000
-2.398 -2.398 7.730
Cs Ca N
2 2 4
Direct
0.000 0.000 0.000
0.250 0.750 0.500
0.500 0.500 0.000
0.750 0.250 0.500
0.625 0.375 0.750
0.125 0.375 0.750
0.625 0.875 0.250
0.625 0.375 0.250
```

Version b
A plane-wave DFT calculation with SCAN was carried out for a PBEsol-optimized structure of CsCaN2.

Volume ... 20.51 Å³/atom

POSCAR file:
```
CsCaN2
1.0
-2.644 2.449 0.986
-3.477 -0.373 -1.317
-3.644 -3.186 5.221
Cs Ca N
1 1 2
Direct
0.000 0.000 0.000
0.500 0.500 0.500
0.892 0.892 0.323
0.108 0.108 0.677
```

Short version: version b is the least stable of them.

Version a
A plane-wave DFT calculation with SCAN was carried out for a PBEsol-optimized structure of Ca2LaGaCu2O7.

Volume ... 12.48 Å³/atom

POSCAR file:
```
Ca2LaGaCu2O7
1.0
5.338 0.001 -0.008
0.007 5.484 -0.018
2.631 2.617 11.075
Ca Ga Cu O La
4 2 4 14 2
Direct
0.339 0.381 0.300
0.838 0.813 0.302
0.144 0.189 0.693
0.493 0.484 0.011
0.719 0.189 0.495
0.224 0.823 0.495
0.584 0.073 0.850
0.426 0.919 0.158
0.925 0.416 0.157
0.082 0.578 0.852
0.731 0.245 0.642
0.387 0.749 0.355
0.884 0.393 0.355
0.223 0.618 0.643
0.810 0.339 0.863
0.682 0.672 0.134
0.180 0.681 0.140
0.317 0.309 0.857
0.351 0.801 0.859
0.184 0.176 0.149
0.683 0.165 0.153
0.859 0.850 0.836
0.364 0.138 0.499
0.866 0.869 0.496
0.651 0.632 0.703
0.004 0.997 0.002
```

Version b
A plane-wave DFT calculation with SCAN was carried out for a PBEsol-optimized structure of Ca2LaGaCu2O7.

Volume ... 12.55 Å³/atom

POSCAR file:
```
Ca2LaGaCu2O7
1.0
5.371 0.000 0.000
0.000 5.529 0.000
-2.686 -2.765 10.983
Ca La Ga Cu O
4 2 2 4 14
Direct
0.376 0.383 0.692
0.684 0.617 0.308
0.876 0.809 0.692
0.184 0.191 0.308
0.010 0.000 0.000
0.510 0.500 0.000
0.299 0.821 0.500
0.799 0.179 0.500
0.930 0.416 0.837
0.092 0.584 0.163
0.430 0.922 0.837
0.592 0.078 0.163
0.652 0.865 0.500
0.152 0.135 0.500
0.778 0.390 0.643
0.135 0.610 0.357
0.278 0.752 0.643
0.635 0.248 0.357
0.193 0.675 0.859
0.333 0.325 0.141
0.693 0.684 0.859
0.833 0.316 0.141
0.682 0.178 0.850
0.832 0.822 0.150
0.182 0.172 0.850
0.332 0.828 0.150
```

Short version: version b is the least stable of them.

Version a
A plane-wave DFT calculation with SCAN was carried out for a PBEsol-optimized structure of CaCu2Ir.

Volume ... 14.93 Å³/atom

POSCAR file:
```
CaCu2Ir
1.0
-0.386 -3.172 0.961
4.115 -0.210 0.961
-0.861 1.296 3.934
Ca Cu Ir
1 2 1
Direct
0.500 0.500 0.500
0.000 0.500 0.000
0.000 0.000 0.500
0.500 0.000 0.000
```

Version b
A plane-wave DFT calculation with SCAN was carried out for a PBEsol-optimized structure of CaCu2Ir.

Volume ... 15.14 Å³/atom

POSCAR file:
```
CaCu2Ir
1.0
4.408 0.000 0.000
2.204 3.817 0.000
2.204 1.272 3.599
Ca Cu Ir
1 2 1
Direct
0.000 0.000 0.000
0.250 0.250 0.250
0.750 0.750 0.750
0.500 0.500 0.500
```

Short version: version a is the least stable of them.

Version a
A plane-wave DFT calculation with SCAN was carried out for a PBEsol-optimized structure of CaLaCu.

Volume ... 30.29 Å³/atom

POSCAR file:
```
CaLaCu
1.0
-1.125 -3.211 -1.832
3.715 1.059 -0.063
1.166 -3.739 5.837
Ca Cu La
1 1 1
Direct
0.000 0.000 0.929
0.667 0.333 0.663
0.333 0.667 0.408
```

Version b
A plane-wave DFT calculation with SCAN was carried out for a PBEsol-optimized structure of CaLaCu.

Volume ... 28.77 Å³/atom

POSCAR file:
```
CaLaCu
1.0
4.961 0.000 0.000
2.480 4.296 0.000
2.480 1.432 4.050
Ca Cu La
1 1 1
Direct
0.500 0.500 0.500
0.250 0.250 0.250
0.000 0.000 0.000
```

Short version: version a is the least stable of them.

Version a
A plane-wave DFT calculation with SCAN was carried out for a PBEsol-optimized structure of Ca2LaCu.

Volume ... 28.74 Å³/atom

POSCAR file:
```
Ca2LaCu
1.0
-1.644 1.610 3.973
-0.592 -4.300 1.497
5.043 0.028 2.075
Ca Cu La
2 1 1
Direct
0.000 0.500 0.000
0.500 0.000 0.000
0.500 0.500 0.500
0.000 0.000 0.500
```

Version b
A plane-wave DFT calculation with SCAN was carried out for a PBEsol-optimized structure of Ca2LaCu.

Volume ... 30.40 Å³/atom

POSCAR file:
```
Ca2LaCu
1.0
3.594 0.000 0.000
0.000 3.594 0.000
0.000 0.000 9.412
Ca Cu La
2 1 1
Direct
0.000 0.000 0.998
0.500 0.500 0.318
0.000 0.000 0.504
0.500 0.500 0.680
```

Short version: version a is the least stable of them.

Version a
A plane-wave DFT calculation with SCAN was carried out for a PBEsol-optimized structure of LiCaCu2.

Volume ... 18.51 Å³/atom

POSCAR file:
```
LiCaCu2
1.0
-4.147 0.353 -0.242
-2.419 -3.328 0.676
-2.373 0.116 4.933
Ca Cu Li
1 2 1
Direct
0.741 0.741 0.777
0.949 0.949 0.154
0.275 0.275 0.176
0.545 0.545 0.366
```

Version b
A plane-wave DFT calculation with SCAN was carried out for a PBEsol-optimized structure of LiCaCu2.

Volume ... 16.91 Å³/atom

POSCAR file:
```
LiCaCu2
1.0
3.311 0.000 0.000
0.000 3.311 0.000
0.000 0.000 6.173
Ca Cu Li
1 2 1
Direct
0.500 0.500 0.000
0.000 0.000 0.305
0.000 0.000 0.695
0.500 0.500 0.500
```

Short version: version b is the least stable of them.

Version a
A plane-wave DFT calculation with SCAN was carried out for a PBEsol-optimized structure of Ca2Mg3Cu.

Volume ... 24.30 Å³/atom

POSCAR file:
```
Ca2Mg3Cu
1.0
-1.306 -1.592 5.467
2.298 -4.950 2.084
4.167 0.364 4.078
Ca Mg Cu
2 3 1
Direct
0.873 0.873 0.873
0.127 0.127 0.127
0.000 0.500 0.500
0.500 0.500 0.000
0.500 0.000 0.500
0.500 0.500 0.500
```

Version b
A plane-wave DFT calculation with SCAN was carried out for a PBEsol-optimized structure of Ca2Mg3Cu.

Volume ... 24.18 Å³/atom

POSCAR file:
```
Ca2Mg3Cu
1.0
6.011 0.000 0.000
-3.005 5.205 0.000
0.000 0.000 9.273
Ca Cu Mg
4 2 6
Direct
0.333 0.667 0.943
0.667 0.333 0.443
0.667 0.333 0.057
0.333 0.667 0.557
0.000 0.000 0.000
0.000 0.000 0.500
0.323 0.162 0.750
0.838 0.677 0.750
0.838 0.162 0.750
0.677 0.838 0.250
0.162 0.323 0.250
0.162 0.838 0.250
```

Short version: version a is the least stable of them.

Version a
A plane-wave DFT calculation with SCAN was carried out for a PBEsol-optimized structure of CaMg2Cu2.

Volume ... 20.64 Å³/atom

POSCAR file:
```
CaMg2Cu2
1.0
-2.118 2.871 1.810
-3.999 -0.964 -3.151
0.305 -4.536 3.132
Ca Mg Cu
1 2 2
Direct
0.500 0.500 0.000
0.846 0.924 0.692
0.154 0.076 0.308
0.774 0.390 0.548
0.226 0.610 0.452
```

Version b
A plane-wave DFT calculation with SCAN was carried out for a PBEsol-optimized structure of CaMg2Cu2.

Volume ... 18.98 Å³/atom

POSCAR file:
```
CaMg2Cu2
1.0
-2.305 3.806 -0.971
-4.887 -0.609 -1.463
-3.180 1.729 3.646
Ca Mg Cu
1 2 2
Direct
0.000 0.000 0.000
0.796 0.704 0.704
0.204 0.296 0.296
0.500 0.696 0.304
0.500 0.304 0.696
```

Version c
A plane-wave DFT calculation with SCAN was carried out for a PBEsol-optimized structure of CaMg2Cu2.

Volume ... 19.89 Å³/atom

POSCAR file:
```
CaMg2Cu2
1.0
4.145 0.000 0.000
0.000 4.145 0.000
-2.073 -2.073 5.788
Ca Mg Cu
1 2 2
Direct
0.500 0.500 0.000
0.250 0.750 0.500
0.750 0.250 0.500
0.102 0.102 0.204
0.898 0.898 0.796
```

Version d
A plane-wave DFT calculation with SCAN was carried out for a PBEsol-optimized structure of CaMg2Cu2.

Volume ... 20.34 Å³/atom

POSCAR file:
```
CaMg2Cu2
1.0
-2.634 1.803 2.552
-3.393 -0.322 -3.274
-1.874 -9.339 4.664
Ca Cu Mg
2 4 4
Direct
0.250 0.693 0.243
0.750 0.307 0.757
0.250 0.793 0.648
0.750 0.207 0.352
0.250 0.372 0.984
0.750 0.628 0.016
0.250 0.850 0.895
0.750 0.150 0.105
0.250 0.253 0.505
0.750 0.747 0.495
```

Short version: version b is the least stable of them.

Version a
A plane-wave DFT calculation with SCAN was carried out for a PBEsol-optimized structure of CaCu2Mo.

Volume ... 17.07 Å³/atom

POSCAR file:
```
CaCu2Mo
1.0
-1.928 -1.316 -1.366
-0.416 -1.105 4.329
-3.452 4.828 0.221
Ca Cu Mo
1 2 1
Direct
0.500 0.000 0.000
0.743 0.486 0.678
0.257 0.514 0.322
0.000 0.000 0.500
```

Version b
A plane-wave DFT calculation with SCAN was carried out for a PBEsol-optimized structure of CaCu2Mo.

Volume ... 15.49 Å³/atom

POSCAR file:
```
CaCu2Mo
1.0
-2.632 -0.176 0.094
-0.004 -2.249 -4.324
1.681 -3.504 3.452
Ca Cu Mo
1 2 1
Direct
0.268 0.810 0.535
0.029 0.967 0.058
0.727 0.297 0.454
0.477 0.426 0.953
```

Short version: version a is the least stable of them.

Version a
A plane-wave DFT calculation with SCAN was carried out for a PBEsol-optimized structure of CaCuP2O7.

Volume ... 11.50 Å³/atom

POSCAR file:
```
CaCuP2O7
1.0
7.330 -0.003 0.000
-2.938 7.912 0.000
0.000 0.000 8.730
Ca Cu P O
4 4 8 28
Direct
0.843 0.109 0.962
0.657 0.391 0.462
0.343 0.609 0.538
0.157 0.891 0.038
0.610 0.393 0.080
0.390 0.607 0.920
0.890 0.107 0.580
0.110 0.893 0.420
0.814 0.761 0.719
0.545 0.045 0.249
0.314 0.261 0.781
0.045 0.545 0.251
0.686 0.739 0.219
0.955 0.455 0.749
0.455 0.955 0.751
0.186 0.239 0.281
0.630 0.903 0.184
0.404 0.344 0.631
0.904 0.844 0.869
0.655 0.124 0.391
0.370 0.097 0.816
0.599 0.624 0.077
0.345 0.876 0.609
0.590 0.155 0.101
0.826 0.452 0.233
0.401 0.376 0.923
0.099 0.124 0.423
0.094 0.195 0.786
0.406 0.305 0.286
0.130 0.403 0.316
0.901 0.876 0.577
0.096 0.156 0.131
0.906 0.805 0.214
0.410 0.845 0.899
0.326 0.952 0.267
0.674 0.048 0.733
0.845 0.376 0.891
0.090 0.655 0.399
0.910 0.345 0.601
0.596 0.656 0.369
0.594 0.695 0.714
0.155 0.624 0.109
0.174 0.548 0.767
0.870 0.597 0.684
```

Version b
A plane-wave DFT calculation with SCAN was carried out for a PBEsol-optimized structure of CaCuP2O7.

Volume ... 11.66 Å³/atom

POSCAR file:
```
CaCuP2O7
1.0
6.188 0.012 0.092
0.824 6.301 -0.015
0.392 2.566 6.574
Ca Cu P O
2 2 4 14
Direct
0.847 0.273 0.139
0.153 0.727 0.861
0.663 0.103 0.755
0.337 0.897 0.245
0.160 0.237 0.736
0.840 0.763 0.264
0.630 0.636 0.674
0.370 0.364 0.326
0.784 0.604 0.490
0.216 0.396 0.510
0.978 0.095 0.731
0.022 0.905 0.269
0.596 0.262 0.405
0.404 0.738 0.595
0.363 0.612 0.172
0.637 0.388 0.828
0.910 0.609 0.147
0.090 0.391 0.853
0.642 0.941 0.181
0.358 0.059 0.819
0.258 0.216 0.242
0.742 0.784 0.758
```

Short version: version a is the least stable of them.